La2YAg | GGA-PBEsol | optimized geometry

The structure in POSCAR format:
```
La2YAg
1.0
5.147 0.000 0.000
0.000 4.655 0.000
0.000 0.000 4.655
Ag Y La
1 1 2
Cartesian
2.574 0.000 0.000 Ag
2.574 2.328 2.328 Y
0.000 0.000 2.328 La
0.000 2.328 0.000 La
```

Properties
ΔH_f (0 K) in eV per atom: 0.02
Uncorrected energy in eV/atom: -5.19
Density of states at the Fermi level in states/eV per atom: 1.410
Distance to the lowest polymorph of the same formula in eV per formula unit: 0.55